[1]
DFT (GGA-PBE) results for TiSiRh2 after structural relaxation.

Summary:
* VASP energy: -7.044 eV per atom
* crystal system: tetragonal
* raw formation energy: -39 meV/atom

Cell: 5.7206 5.7206 9.6476 Å, 90.00 90.00 90.00°
Closest atoms and distances in Å follow each position.
Space group I-42d (No. 122)
Symmetry-distinct sites (fractional):
Ti1 0.0000 0.0000 0.0000  4 Rh 2.42
Si1 0.0000 0.0000 0.5000  4 Rh 2.29
Rh1 0.2304 0.2500 0.6250  2 Si 2.29, 2 Ti 2.42


[2]
DFT (GGA-PBE) results for TiSiRh2 after structural relaxation.

Summary:
* VASP energy: -7.806 eV per atom
* crystal system: tetragonal
* raw formation energy: -801 meV/atom

Cell: 2.8551 2.8551 6.8538 Å, 90.00 90.00 90.00°
Closest atoms and distances in Å follow each position.
Space group P4/mmm (No. 123)
Symmetry-distinct sites (fractional):
Ti1 0.0000 0.0000 0.0000  8 Rh 2.81, 4 Ti 2.86
Si1 0.0000 0.0000 0.5000  8 Rh 2.49
Rh1 0.5000 0.5000 0.2862  4 Si 2.49


[3]
DFT (GGA-PBE) results for Ti2Si2Rh after structural relaxation.

Summary:
* VASP energy: -7.615 eV per atom
* crystal system: orthorhombic
* raw formation energy: -818 meV/atom

Cell: 3.7346 5.1926 7.6720 Å, 90.00 90.00 90.00°
Closest atoms and distances in Å follow each position.
Space group Immm (No. 71)
Symmetry-distinct sites (fractional):
Ti1 0.0000 0.0000 0.2026  6 Si 2.69-2.70, 2 Rh 2.95
Si1 0.0000 0.2768 0.5000  1 Si 2.32, 2 Rh 2.36
Rh1 0.0000 0.5000 0.0000  4 Si 2.36


[4]
DFT (GGA-PBE) results for TiSiRh after structural relaxation.

Summary:
* VASP energy: -7.865 eV per atom
* crystal system: orthorhombic
* raw formation energy: -975 meV/atom

Cell: 6.2683 3.8328 7.2692 Å, 90.00 90.00 90.00°
Closest atoms and distances in Å follow each position.
Space group Pnma (No. 62)
Symmetry-distinct sites (fractional):
Ti1 0.0244 0.2500 0.1821  5 Si 2.69-2.72, 6 Rh 2.88-2.93
Si1 0.2314 0.7500 0.3780  4 Rh 2.39-2.45
Rh1 0.1535 0.2500 0.5629  4 Si 2.39-2.45


[5]
DFT (GGA-PBE) results for TiSi2Rh4 after structural relaxation.

Summary:
* VASP energy: -6.594 eV per atom
* crystal system: tetragonal
* raw formation energy: 284 meV/atom

Cell: 4.5773 4.5773 11.7053 Å, 90.00 90.00 90.00°
Closest atoms and distances in Å follow each position.
Space group I4/mmm (No. 139)
Symmetry-distinct sites (fractional):
Ti1 0.0000 0.0000 0.0000  6 Rh 2.29-2.35
Si1 0.0000 0.0000 0.3954  1 Rh 2.28, 1 Si 2.45
Rh1 0.0000 0.0000 0.2010  1 Si 2.28, 1 Ti 2.35
Rh2 0.0000 0.5000 0.0000  2 Ti 2.29


[6]
DFT (GGA-PBE) results for Ti4Si6Rh7 after structural relaxation.

Summary:
* VASP energy: -7.678 eV per atom
* crystal system: cubic
* raw formation energy: -879 meV/atom

Cell: 7.8806 7.8806 7.8806 Å, 90.00 90.00 90.00°
Closest atoms and distances in Å follow each position.
Space group Im-3m (No. 229)
Symmetry-distinct sites (fractional):
Ti1 0.2500 0.2500 0.2500  6 Rh 2.79, 6 Si 2.83
Si1 0.0000 0.0000 0.3145  5 Rh 2.45-2.48
Rh1 0.0000 0.0000 0.0000  6 Si 2.48
Rh2 0.0000 0.2500 0.5000  4 Si 2.45


[7]
DFT (GGA-PBE) results for TiSiRh after structural relaxation.

Summary:
* VASP energy: -7.644 eV per atom
* crystal system: tetragonal
* raw formation energy: -755 meV/atom

Cell: 2.8809 2.8809 10.1809 Å, 90.00 90.00 90.00°
Closest atoms and distances in Å follow each position.
Space group I4mm (No. 107)
Symmetry-distinct sites (fractional):
Ti1 0.0000 0.0000 0.0000  4 Si 2.68, 4 Rh 2.81, 4 Ti 2.88
Si1 0.0000 0.0000 0.6714  4 Rh 2.48, 4 Ti 2.68
Rh1 0.0000 0.0000 0.3103  4 Si 2.48


[8]
DFT (GGA-PBE) results for Ti3Si3Rh after structural relaxation.

Summary:
* VASP energy: -7.568 eV per atom
* crystal system: orthorhombic
* raw formation energy: -810 meV/atom

Cell: 3.6893 9.3240 12.1491 Å, 90.00 90.00 90.00°
Closest atoms and distances in Å follow each position.
Space group Cmcm (No. 63)
Symmetry-distinct sites (fractional):
Ti1 0.0000 0.0167 0.2500  7 Si 2.54-2.81
Ti2 0.0000 0.2942 0.1015  6 Si 2.62-2.72, 2 Rh 2.93
Si1 0.0000 0.2562 0.7500  2 Si 2.34, 1 Ti 2.54
Si2 0.0000 0.4141 0.6003  1 Si 2.34, 2 Rh 2.35
Rh1 0.0000 0.0000 0.0000  4 Si 2.35


[9]
DFT (GGA-PBE) results for TiSiRh after structural relaxation.

Summary:
* VASP energy: -7.738 eV per atom
* crystal system: hexagonal
* raw formation energy: -848 meV/atom

Cell: 4.1818 4.1818 2.8542 Å, 90.00 90.00 120.00°
Closest atoms and distances in Å follow each position.
Space group P-6m2 (No. 187)
Symmetry-distinct sites (fractional):
Ti1 0.0000 0.0000 0.0000  6 Rh 2.80, 6 Si 2.80, 2 Ti 2.85
Si1 0.6667 0.3333 0.5000  3 Rh 2.41
Rh1 0.3333 0.6667 0.5000  3 Si 2.41


[10]
DFT (GGA-PBE) results for Ti2SiRh5 after structural relaxation.

Summary:
* VASP energy: -8.131 eV per atom
* crystal system: orthorhombic
* raw formation energy: -884 meV/atom

Cell: 5.3998 10.5399 3.9419 Å, 90.00 90.00 90.00°
Closest atoms and distances in Å follow each position.
Space group Pbam (No. 55)
Symmetry-distinct sites (fractional):
Ti1 0.1745 0.1407 0.0000  10 Rh 2.61-2.78
Si1 0.0000 0.5000 0.5000  8 Rh 2.47-2.70
Rh1 0.0000 0.0000 0.5000  4 Ti 2.64, 2 Si 2.70, 6 Rh 2.77-2.83
Rh2 0.0765 0.7402 0.5000  1 Si 2.57, 4 Ti 2.61-2.70, 7 Rh 2.71-2.87
Rh3 0.1843 0.3950 0.0000  2 Si 2.47, 3 Ti 2.67-2.70


[11]
DFT (GGA-PBE) results for TiSiRh5 after structural relaxation.

Summary:
* VASP energy: -7.747 eV per atom
* crystal system: tetragonal
* offset from the most stable computed form: 0 meV/atom
* raw formation energy: -594 meV/atom

Cell: 3.9576 3.9576 6.5165 Å, 90.00 90.00 90.00°
Closest atoms and distances in Å follow each position.
Space group P4/mmm (No. 123)
Symmetry-distinct sites (fractional):
Ti1 0.0000 0.0000 0.0000  12 Rh 2.72-2.80
Si1 0.5000 0.5000 0.5000  8 Rh 2.42
Rh1 0.0000 0.5000 0.2855  2 Si 2.42
Rh2 0.5000 0.5000 0.0000  8 Rh 2.72, 4 Ti 2.80


[12]
DFT (GGA-PBE) results for Ti3SiRh after structural relaxation.

Summary:
* VASP energy: -6.931 eV per atom
* crystal system: cubic
* raw formation energy: 361 meV/atom

Cell: 4.6540 4.6540 4.6540 Å, 90.00 90.00 90.00°
Closest atoms and distances in Å follow each position.
Space group Pm-3m (No. 221)
Symmetry-distinct sites (fractional):
Ti1 0.0000 0.0000 0.5000  2 Rh 2.33
Si1 0.5000 0.5000 0.5000  12 Ti 3.29
Rh1 0.0000 0.0000 0.0000  6 Ti 2.33


Question: What is the raw formation energy in the first record?
Answer: -39 meV/atom


Please write out number 11 again, unchanged.
DFT (GGA-PBE) results for TiSiRh5 after structural relaxation.

Summary:
* VASP energy: -7.747 eV per atom
* crystal system: tetragonal
* offset from the most stable computed form: 0 meV/atom
* raw formation energy: -594 meV/atom

Cell: 3.9576 3.9576 6.5165 Å, 90.00 90.00 90.00°
Closest atoms and distances in Å follow each position.
Space group P4/mmm (No. 123)
Symmetry-distinct sites (fractional):
Ti1 0.0000 0.0000 0.0000  12 Rh 2.72-2.80
Si1 0.5000 0.5000 0.5000  8 Rh 2.42
Rh1 0.0000 0.5000 0.2855  2 Si 2.42
Rh2 0.5000 0.5000 0.0000  8 Rh 2.72, 4 Ti 2.80


Question: The highest raw formation energy belongs to which entry?
Answer: Ti3SiRh


Copy entry 5 word for word.
DFT (GGA-PBE) results for TiSi2Rh4 after structural relaxation.

Summary:
* VASP energy: -6.594 eV per atom
* crystal system: tetragonal
* raw formation energy: 284 meV/atom

Cell: 4.5773 4.5773 11.7053 Å, 90.00 90.00 90.00°
Closest atoms and distances in Å follow each position.
Space group I4/mmm (No. 139)
Symmetry-distinct sites (fractional):
Ti1 0.0000 0.0000 0.0000  6 Rh 2.29-2.35
Si1 0.0000 0.0000 0.3954  1 Rh 2.28, 1 Si 2.45
Rh1 0.0000 0.0000 0.2010  1 Si 2.28, 1 Ti 2.35
Rh2 0.0000 0.5000 0.0000  2 Ti 2.29